Record 1
## Cu (GGA-PBEsol)

Data for Cu after structural relaxation.

Cell lengths 2.522, 2.522, 4.100 Å; angles 90.00, 90.00, 120.00 degrees
Sites, in units of the cell vectors:
Cu: 0.333 0.667 0.250
Cu: 0.667 0.333 0.750

Computed properties:
- VASP energy: -4.323 eV/atom
- Formation enthalpy at 0 K: 0.012 eV/atom
- Density: 9.3 g/cm3



Record 2
## La2RuSe (GGA-PBEsol)

Data for La2RuSe after structural relaxation.

Cell lengths 4.225, 4.225, 5.946 Å; angles 90.00, 90.00, 90.00 degrees
Sites, in units of the cell vectors:
La: 0.000 0.000 0.000
La: 0.500 0.500 0.435
Ru: 0.000 0.000 0.400
Se: 0.500 0.500 0.933

Computed properties:
- VASP energy: -7.145 eV/atom
- ΔE_f (raw): -93.3 kJ/mol of atoms
- Density: 7.2 g/cm3



> Which of these has the highest VASP energy?

Cu



> Among the records above, which one has the lowest density?

La2RuSe